DFT (PBE-GGA) results for a relaxed structure of In2CuCl.

Cell lengths 3.2711, 5.4829, 10.2349 Å; angles 90.00, 90.00, 90.00 degrees
Atoms (fractional coordinates):
In1 0.0000 0.0000 0.0000
In2 0.0000 0.5000 0.2160
In3 0.5000 0.0000 0.7160
In4 0.5000 0.5000 0.5000
Cu1 0.0000 0.0000 0.5031
Cu2 0.5000 0.5000 0.0031
Cl1 0.0000 0.5000 0.8234
Cl2 0.5000 0.0000 0.3234

Summary:
The value obtained for the uncorrected formation energy is -0.118 eV per atom. Its calculated total energy is -2.9730 eV per atom.


DFT (PBE-GGA) results for a relaxed structure of In2CuCl8.

Cell lengths 7.7573, 7.7573, 6.8596 Å; angles 90.37, 90.37, 75.42 degrees
Atoms (fractional coordinates):
In1 0.2191 0.2191 0.3217
In2 0.7809 0.7809 0.6783
Cu1 0.0000 0.0000 0.0000
Cl1 0.0741 0.7264 0.8457
Cl2 0.1894 0.1894 0.6604
Cl3 0.2736 0.9259 0.1543
Cl4 0.3984 0.3984 0.2167
Cl5 0.6016 0.6016 0.7833
Cl6 0.7264 0.0741 0.8457
Cl7 0.8106 0.8106 0.3396
Cl8 0.9259 0.2736 0.1543

Summary:
The value obtained for the uncorrected formation energy is -0.868 eV per atom. Its calculated total energy is -3.0813 eV per atom.


DFT (PBE-GGA) results for a relaxed structure of InCuCl2.

Cell lengths 3.3697, 3.3697, 7.5150 Å; angles 90.00, 90.00, 90.00 degrees
Atoms (fractional coordinates):
In1 0.0000 0.0000 0.0000
Cu1 0.0000 0.0000 0.5000
Cl1 0.5000 0.5000 0.2926
Cl2 0.5000 0.5000 0.7074

Summary:
The value obtained for the uncorrected formation energy is -0.282 eV per atom. Its calculated total energy is -2.9140 eV per atom.


DFT (PBE-GGA) results for a relaxed structure of InCuCl2.

Cell lengths 4.2336, 6.2991, 8.9051 Å; angles 90.00, 90.00, 90.00 degrees
Atoms (fractional coordinates):
In1 0.0000 0.0000 0.0000
In2 0.5000 0.5000 0.0000
Cu1 0.0000 0.5000 0.6164
Cu2 0.5000 0.0000 0.6164
Cl1 0.0000 0.0000 0.5696
Cl2 0.0000 0.5000 0.1924
Cl3 0.5000 0.0000 0.1924
Cl4 0.5000 0.5000 0.5696

Summary:
The value obtained for the uncorrected formation energy is -0.431 eV per atom. Its calculated total energy is -3.0626 eV per atom.


DFT (PBE-GGA) results for a relaxed structure of InCuCl2.

Cell lengths 3.9850, 3.9850, 12.6624 Å; angles 90.00, 90.00, 90.00 degrees
Atoms (fractional coordinates):
In1 0.0000 0.0000 0.0000
In2 0.5000 0.5000 0.5000
Cu1 0.0000 0.5000 0.2500
Cu2 0.5000 0.0000 0.7500
Cl1 0.0000 0.0000 0.5000
Cl2 0.0000 0.5000 0.7500
Cl3 0.5000 0.0000 0.2500
Cl4 0.5000 0.5000 0.0000

Summary:
The value obtained for the uncorrected formation energy is -0.193 eV per atom. Its calculated total energy is -2.8253 eV per atom.


DFT (PBE-GGA) results for a relaxed structure of In2CuCl.

Cell lengths 4.8327, 4.8529, 7.5283 Å; angles 90.00, 90.00, 90.00 degrees
Atoms (fractional coordinates):
In1 0.0000 0.0000 0.2143
In2 0.0000 0.0000 0.7857
In3 0.5000 0.5000 0.2143
In4 0.5000 0.5000 0.7857
Cu1 0.0000 0.5000 0.0000
Cu2 0.5000 0.0000 0.0000
Cl1 0.0000 0.5000 0.5000
Cl2 0.5000 0.0000 0.5000

Summary:
The value obtained for the uncorrected formation energy is -0.137 eV per atom. Its calculated total energy is -2.9915 eV per atom.


DFT (PBE-GGA) results for a relaxed structure of InCuCl2.

Cell lengths 3.5521, 6.1675, 8.7521 Å; angles 90.00, 90.00, 90.00 degrees
Atoms (fractional coordinates):
In1 0.0000 0.0000 0.0000
In2 0.5000 0.5000 0.5000
Cu1 0.0000 0.0000 0.5000
Cu2 0.5000 0.5000 0.0000
Cl1 0.0000 0.5000 0.1830
Cl2 0.0000 0.5000 0.8170
Cl3 0.5000 0.0000 0.3170
Cl4 0.5000 0.0000 0.6830

Summary:
The value obtained for the uncorrected formation energy is -0.495 eV per atom. Its calculated total energy is -3.1268 eV per atom.


DFT (PBE-GGA) results for a relaxed structure of In2CuCl.

Cell lengths 3.7546, 3.7546, 22.7850 Å; angles 90.00, 90.00, 120.00 degrees
Atoms (fractional coordinates):
In1 0.0000 0.0000 0.2371
In2 0.0000 0.0000 0.7629
In3 0.3333 0.6667 0.4295
In4 0.3333 0.6667 0.9038
In5 0.6667 0.3333 0.0962
In6 0.6667 0.3333 0.5705
Cu1 0.0000 0.0000 0.5000
Cu2 0.3333 0.6667 0.1667
Cu3 0.6667 0.3333 0.8333
Cl1 0.0000 0.0000 0.0000
Cl2 0.3333 0.6667 0.6667
Cl3 0.6667 0.3333 0.3333

Summary:
The value obtained for the uncorrected formation energy is -0.194 eV per atom. Its calculated total energy is -3.0492 eV per atom.


DFT (PBE-GGA) results for a relaxed structure of InCuCl2.

Cell lengths 3.5210, 3.5210, 7.9756 Å; angles 90.00, 90.00, 90.00 degrees
Atoms (fractional coordinates):
In1 0.0000 0.0000 0.0000
Cu1 0.5000 0.5000 0.5093
Cl1 0.0000 0.0000 0.5778
Cl2 0.5000 0.5000 0.2168

Summary:
The value obtained for the uncorrected formation energy is -0.467 eV per atom. Its calculated total energy is -3.0986 eV per atom.


DFT (PBE-GGA) results for a relaxed structure of InCuCl2.

Cell lengths 4.9007, 3.9031, 6.3187 Å; angles 90.00, 112.65, 90.00 degrees
Atoms (fractional coordinates):
In1 0.0000 0.0000 0.0000
Cu1 0.6442 0.5000 0.2861
Cl1 0.4505 0.5000 0.9032
Cl2 0.7426 0.0000 0.4835

Summary:
The value obtained for the uncorrected formation energy is -0.593 eV per atom. Its calculated total energy is -3.2245 eV per atom.


DFT (PBE-GGA) results for a relaxed structure of In2CuCl.

Cell lengths 8.0555, 7.6358, 3.1844 Å; angles 90.00, 109.55, 90.00 degrees
Atoms (fractional coordinates):
In1 0.2500 0.2500 0.0000
In2 0.2500 0.7500 0.0000
In3 0.7500 0.2500 0.0000
In4 0.7500 0.7500 0.0000
Cu1 0.0000 0.0000 0.5000
Cu2 0.5000 0.5000 0.5000
Cl1 0.0000 0.5000 0.5000
Cl2 0.5000 0.0000 0.5000

Summary:
The value obtained for the uncorrected formation energy is -0.124 eV per atom. Its calculated total energy is -2.9786 eV per atom.


DFT (PBE-GGA) results for a relaxed structure of In2CuCl.

Cell lengths 7.2412, 7.2412, 7.2412 Å; angles 90.00, 90.00, 90.00 degrees
Atoms (fractional coordinates):
In1 0.0000 0.0000 0.0000
In2 0.0000 0.5000 0.5000
In3 0.2500 0.2500 0.2500
In4 0.2500 0.7500 0.7500
In5 0.5000 0.0000 0.5000
In6 0.5000 0.5000 0.0000
In7 0.7500 0.2500 0.7500
In8 0.7500 0.7500 0.2500
Cu1 0.2500 0.2500 0.7500
Cu2 0.2500 0.7500 0.2500
Cu3 0.7500 0.2500 0.2500
Cu4 0.7500 0.7500 0.7500
Cl1 0.0000 0.0000 0.5000
Cl2 0.0000 0.5000 0.0000
Cl3 0.5000 0.0000 0.0000
Cl4 0.5000 0.5000 0.5000

Summary:
The value obtained for the uncorrected formation energy is 0.146 eV per atom. Its calculated total energy is -2.7090 eV per atom.


Which of these has the highest calculated total energy?
number 12